1.
The following is a PBE calculation of Ti2GeH after structural relaxation, from the Alexandria database.

abc: 4.2674 4.2674 4.2674
angles: 60.00 60.00 60.00
Last column: nearest neighbours and their distance in Å.
Positions (direct):
H 0.0000 0.0000 0.0000  8 Ti 2.61
Ge 0.5000 0.5000 0.5000  8 Ti 2.61
Ti 0.2500 0.2500 0.2500  4 Ge 2.61, 4 H 2.61
Ti 0.7500 0.7500 0.7500  4 Ge 2.61, 4 H 2.61

Values from the calculation:
DOS at the Fermi energy = 0.70 states/eV/atom
ΔE to the lowest computed polymorph = 475 meV/atom

2.
The following is a PBE calculation of TiGeH2 after structural relaxation, from the Alexandria database.

abc: 3.7804 3.7804 3.7804
angles: 60.00 60.00 60.00
Last column: nearest neighbours and their distance in Å.
Positions (direct):
H 0.2500 0.2500 0.2500  4 Ge 2.32, 4 Ti 2.32
H 0.7500 0.7500 0.7500  4 Ge 2.32, 4 Ti 2.32
Ge 0.5000 0.5000 0.5000  8 H 2.32
Ti 0.0000 0.0000 0.0000  8 H 2.32

Values from the calculation:
DOS at the Fermi energy = 0.49 states/eV/atom
ΔE to the lowest computed polymorph = 566 meV/atom

3.
The following is a PBE calculation of YTiGeH2 after structural relaxation, from the Alexandria database.

abc: 3.8786 3.8786 5.9436
angles: 90.00 90.00 90.00
Last column: nearest neighbours and their distance in Å.
Positions (direct):
Y 0.0000 0.0000 0.0000  4 H 1.94
H 0.0000 0.5000 0.0000  2 Y 1.94
H 0.5000 0.0000 0.0000  2 Y 1.94
Ge 0.0000 0.0000 0.5000  4 Ti 2.74, 2 Y 2.97
Ti 0.5000 0.5000 0.5000  4 Ge 2.74

Values from the calculation:
DOS at the Fermi energy = 0.39 states/eV/atom
E = -5.164 eV/atom

4.
The following is a PBE calculation of YTiGe2H after structural relaxation, from the Alexandria database.

abc: 4.7997 5.3841 4.7997
angles: 90.00 90.00 90.00
Last column: nearest neighbours and their distance in Å.
Positions (direct):
Y 0.0000 0.5000 0.0000  2 Ti 2.69
H 0.5000 0.5000 0.5000  4 Y 3.39, 8 Ge 3.61
Ge 0.0000 0.0000 0.5000  2 Ti 2.40
Ge 0.5000 0.0000 0.0000  2 Ti 2.40
Ti 0.0000 0.0000 0.0000  4 Ge 2.40

Values from the calculation:
DOS at the Fermi energy = 0.83 states/eV/atom
E = -4.778 eV/atom

5.
The following is a PBE calculation of Zr2TiGeH after structural relaxation, from the Alexandria database.

abc: 4.4122 4.4122 4.0098
angles: 90.00 90.00 90.00
Last column: nearest neighbours and their distance in Å.
Positions (direct):
H 0.0000 0.0000 0.0000  2 Ti 2.00, 4 Zr 2.21
Ge 0.5000 0.5000 0.5000  8 Zr 2.98, 4 Ti 3.12
Zr 0.0000 0.5000 0.0000  2 H 2.21
Zr 0.5000 0.0000 0.0000  2 H 2.21
Ti 0.0000 0.0000 0.5000  2 H 2.00

Values from the calculation:
DOS at the Fermi energy = 0.76 states/eV/atom
E = -7.039 eV/atom

6.
The following is a PBE calculation of ZrTi2GeH after structural relaxation, from the Alexandria database.

abc: 4.1462 4.1462 4.1858
angles: 90.00 90.00 90.00
Last column: nearest neighbours and their distance in Å.
Positions (direct):
H 0.0000 0.0000 0.0000  4 Ti 2.07, 2 Zr 2.09
Ge 0.5000 0.5000 0.5000  4 Zr 2.93, 8 Ti 2.95
Zr 0.0000 0.0000 0.5000  2 H 2.09
Ti 0.0000 0.5000 0.0000  2 H 2.07
Ti 0.5000 0.0000 0.0000  2 H 2.07

Values from the calculation:
DOS at the Fermi energy = 0.84 states/eV/atom
E = -6.911 eV/atom

7.
The following is a PBE calculation of TlGe2H after structural relaxation, from the Alexandria database.

abc: 4.7566 4.7566 4.7566
angles: 60.00 60.00 60.00
Last column: nearest neighbours and their distance in Å.
Positions (direct):
H 0.0000 0.0000 0.0000  8 Ge 2.91
Tl 0.5000 0.5000 0.5000  8 Ge 2.91
Ge 0.2500 0.2500 0.2500  4 H 2.91, 4 Tl 2.91
Ge 0.7500 0.7500 0.7500  4 Tl 2.91, 4 H 2.91

Values from the calculation:
DOS at the Fermi energy = 0.23 states/eV/atom
ΔE to the lowest computed polymorph = 295 meV/atom

8.
The following is a PBE calculation of TlGe2H after structural relaxation, from the Alexandria database.

abc: 5.2926 5.2926 7.0612
angles: 67.99 67.99 90.00
Last column: nearest neighbours and their distance in Å.
Positions (direct):
H 0.5000 0.5000 0.0000  4 Ge 2.01
H 0.2500 0.7500 0.5000  4 Ge 2.01
Tl 0.0000 0.0000 0.0000  8 Ge 3.13-3.51
Tl 0.7500 0.2500 0.5000  8 Ge 3.13-3.51
Ge 0.3306 0.1250 0.2500  2 H 2.01
Ge 0.4194 0.6250 0.2500  2 H 2.01
Ge 0.3750 0.6694 0.7500  2 H 2.01
Ge 0.8750 0.5806 0.7500  2 H 2.01

Values from the calculation:
DOS at the Fermi energy = 0.31 states/eV/atom
ΔE to the lowest computed polymorph = 0 meV/atom